1.
Density functional theory data (PBE) for a relaxed structure of RbHf3Si5.

Mass density   6.40 g cm⁻³
DFT total energy   -57.94 eV/cell

a b c (Å): 5.858 5.858 6.651
angles (deg): 90.00 90.00 120.00
Sites, in units of the cell vectors:
Rb 0.000 0.000 0.000
Hf 0.000 0.500 0.500
Hf 0.500 0.000 0.500
Hf 0.500 0.500 0.500
Si 0.000 0.000 0.500
Si 0.333 0.667 0.175
Si 0.333 0.667 0.825
Si 0.667 0.333 0.175
Si 0.667 0.333 0.825

***

2.
Density functional theory data (PBE) for a relaxed structure of YAl2Ni.

Mass density   4.87 g cm⁻³
DFT total energy   -20.91 eV/cell

a b c (Å): 4.599 4.599 4.599
angles (deg): 60.00 60.00 60.00
Sites, in units of the cell vectors:
Y 0.000 0.000 0.000
Al 0.250 0.250 0.250
Al 0.500 0.500 0.500
Ni 0.750 0.750 0.750